1.
## MgZr4Sc (PBEsol)

Data for a relaxed MgZr4Sc crystal.

a b c (Å): 5.8126 5.8126 5.8126
angles (deg): 60.00 60.00 60.00
Last column: nearest neighbours and their distance in Å.
Sites, in units of the cell vectors:
Mg (0.0000, 0.0000, 0.0000)  12 Zr 3.41, 4 Sc 3.56
Zr (0.1316, 0.6228, 0.6228)  6 Zr 2.86-2.96
Zr (0.6228, 0.1316, 0.6228)  6 Zr 2.86-2.96
Zr (0.6228, 0.6228, 0.1316)  6 Zr 2.86-2.96
Zr (0.6228, 0.6228, 0.6228)  6 Zr 2.86-2.96
Sc (0.2500, 0.2500, 0.2500)  12 Zr 3.40, 4 Mg 3.56

Calculated values
Its theoretical density is 5.19 Mg/m³. As for the formation energy: 0.238 eV per atom. Its space group is No. 216. The value obtained for the total energy is -7.2089 eV/atom.



2.
## MgZr2Sc (PBEsol)

Data for a relaxed MgZr2Sc crystal.

a b c (Å): 3.1068 3.1068 9.1567
angles (deg): 90.00 90.00 90.00
Last column: nearest neighbours and their distance in Å.
Sites, in units of the cell vectors:
Mg (0.0000, 0.0000, 0.0000)  4 Mg 3.11, 8 Zr 3.19
Zr (0.5000, 0.5000, 0.2528)  4 Zr 3.11, 4 Sc 3.15, 4 Mg 3.19
Zr (0.5000, 0.5000, 0.7472)  4 Zr 3.11, 4 Sc 3.15, 4 Mg 3.19
Sc (0.0000, 0.0000, 0.5000)  4 Sc 3.11, 8 Zr 3.15

Calculated values
Its theoretical density is 4.73 Mg/m³. As for the formation energy: 0.036 eV per atom. Its space group is No. 123. The value obtained for the total energy is -6.5894 eV/atom.